Compound: KGa3Os
Source: Alexandria
Functional: PBE
Structure: optimized geometry

```
KGa3Os
1.0
6.981 -4.827 0.000
6.981 4.827 0.000
-2.063 0.000 6.208
K Ga Os
4 12 4
Direct
0.004 0.996 0.750
0.310 0.690 0.750
0.690 0.310 0.250
0.996 0.004 0.250
0.024 0.372 0.624
0.073 0.328 0.072
0.328 0.073 0.572
0.355 0.356 0.884
0.356 0.355 0.384
0.372 0.024 0.124
0.628 0.976 0.876
0.644 0.645 0.616
0.645 0.644 0.116
0.672 0.927 0.428
0.927 0.672 0.928
0.976 0.628 0.376
0.229 0.589 0.173
0.411 0.771 0.327
0.589 0.229 0.673
0.771 0.411 0.827
```

Output
DFT total energy, Ry/atom: -0.30493
Total moment, μB per cell: 0.0
Density, Mg/m³: 6.962
Energy of formation, eV per atom: 0.133
SG: C2/c